PBE TmSnGe2, relaxed; M_tot = 0.000 Bohr magnetons per cell; DOS(E_F) = 0.77 states/eV per atom; formation energy = 0.26 eV per atom; ΔE to the lowest computed polymorph = 617.9 meV per atom; E = -4.168 eV per atom
1.0
4.6475 0.0000 0.0000
2.3237 4.0248 0.0000
2.3237 1.3416 7.1998
Ge Tm Sn
2 1 1
Direct
0.8814 0.8814 0.3557
0.1186 0.1186 0.6443
0.5000 0.5000 0.5000
0.0000 0.0000 0.0000

=====

PBE Pr2Nd4Sc, relaxed; M_tot = 0.000 Bohr magnetons per cell; DOS(E_F) = 1.48 states/eV per atom; formation energy = 0.46 eV per atom; ΔE to the lowest computed polymorph = 430.6 meV per atom; E = -4.530 eV per atom
1.0
5.9830 0.0000 0.0000
0.0000 6.1796 0.0000
0.0000 -3.0898 6.5627
Nd Pr Sc
4 2 1
Direct
0.0000 0.1900 0.3800
0.5000 0.3656 0.7312
0.0000 0.8100 0.6200
0.5000 0.6344 0.2688
0.5000 0.8901 0.7802
0.5000 0.1099 0.2198
0.0000 0.5000 0.0000

=====

PBE Re3RuW, relaxed; M_tot = 0.000 Bohr magnetons per cell; DOS(E_F) = 0.79 states/eV per atom; formation energy = 0.24 eV per atom; ΔE to the lowest computed polymorph = 0.0 meV per atom; E = -11.677 eV per atom
1.0
4.2025 0.9987 -0.9527
1.1642 5.0553 0.1605
-1.4299 0.2002 4.1764
Re Ru W
3 1 1
Direct
0.3083 0.9184 0.6297
0.7058 0.3221 0.8288
0.9009 0.5300 0.4262
0.4604 0.1907 0.2060
0.0785 0.7636 0.0146